# TaMnZnB2 | Alexandria | GGA-PBE | relaxed
data_TaMnZnB2
_chemical_formula_sum 'Ta1 Mn1 Zn1 B2'
_symmetry_space_group_name_H-M 'P 4/m m m'
_symmetry_Int_Tables_number 123
_symmetry_space_group_name_Hall '-P 4 2'
_cell_length_a 3.8727
_cell_length_b 3.8727
_cell_length_c 4.8651
_cell_angle_alpha 90.00
_cell_angle_beta 90.00
_cell_angle_gamma 90.00
loop_
_atom_site_label
_atom_site_fract_x
_atom_site_fract_y
_atom_site_fract_z
Ta1 0.0000 0.0000 0.0000
Mn1 0.5000 0.5000 0.0000
Zn1 0.0000 0.0000 0.5000
B1 0.0000 0.5000 0.5000
# E_form in eV/atom: 1.66
# ρ in g/cm3: 7.3
# DOS at the Fermi energy in states/eV/cell: 2.47
# V in A^3/atom: 14.59

# SrYRuW2 | Alexandria | GGA-PBE | relaxed
data_SrYRuW2
_chemical_formula_sum 'Sr1 Y1 Ru1 W2'
_symmetry_space_group_name_H-M 'P 4/m m m'
_symmetry_Int_Tables_number 123
_symmetry_space_group_name_Hall '-P 4 2'
_cell_length_a 4.7568
_cell_length_b 4.7568
_cell_length_c 5.0585
_cell_angle_alpha 90.00
_cell_angle_beta 90.00
_cell_angle_gamma 90.00
loop_
_atom_site_label
_atom_site_fract_x
_atom_site_fract_y
_atom_site_fract_z
Sr1 0.0000 0.0000 0.0000
Y1 0.0000 0.0000 0.5000
Ru1 0.5000 0.5000 0.5000
W1 0.0000 0.5000 0.0000
# E_form in eV/atom: 3.13
# ρ in g/cm3: 9.4
# DOS at the Fermi energy in states/eV/cell: 9.02
# V in A^3/atom: 22.89

# La5PrSm2Tl | Alexandria | GGA-PBE | relaxed
data_La5PrSm2Tl
_chemical_formula_sum 'La20 Pr4 Sm8 Tl4'
_symmetry_space_group_name_H-M 'C m c m'
_symmetry_Int_Tables_number 63
_symmetry_space_group_name_Hall '-C 2c 2'
_cell_length_a 5.6953
_cell_length_b 20.3026
_cell_length_c 11.1320
_cell_angle_alpha 90.00
_cell_angle_beta 90.00
_cell_angle_gamma 90.00
loop_
_atom_site_label
_atom_site_fract_x
_atom_site_fract_y
_atom_site_fract_z
La1 0.0000 0.0000 0.0000
La2 0.0000 0.1214 0.2500
La3 0.0000 0.2108 0.5497
La4 0.0000 0.4902 0.2500
Pr1 0.0000 0.3077 0.2500
Sm1 0.0000 0.3832 0.5463
Tl1 0.0000 0.0917 0.7500
# E_form in eV/atom: 0.00
# ρ in g/cm3: 6.9
# DOS at the Fermi energy in states/eV/cell: 54.13
# V in A^3/atom: 35.76

# RbHoSnO3 | Alexandria | GGA-PBE | relaxed
data_RbHoSnO3
_chemical_formula_sum 'Rb2 Ho2 Sn2 O6'
_symmetry_space_group_name_H-M 'P 1 21/m 1'
_symmetry_Int_Tables_number 11
_cell_length_a 7.4716
_cell_length_b 3.4814
_cell_length_c 9.3849
_cell_angle_alpha 90.00
_cell_angle_beta 96.32
_cell_angle_gamma 90.00
loop_
_symmetry_equiv_pos_as_xyz
'x,y,z'
'-x,-y,-z'
'-x,y+1/2,-z'
'x,-y+1/2,z'
loop_
_atom_site_label
_atom_site_fract_x
_atom_site_fract_y
_atom_site_fract_z
Rb1 0.0885 0.2500 0.2956
Ho1 0.4197 0.7500 0.6348
Sn1 0.2984 0.2500 0.9279
O1 0.2365 0.2500 0.6893
O2 0.3876 0.7500 0.3964
O3 0.4607 0.7500 0.8865
# ρ in g/cm3: 5.7
# DOS at the Fermi energy in states/eV/cell: 0.00
# V in A^3/atom: 20.22
# Formation energy (no corrections) in eV/atom: -2.27

> Look up the DOS at the Fermi energy of the third one.

54.13 states/eV/cell

> Number 4 is which compound?

RbHoSnO3

> The lowest ρ belongs to which entry?

RbHoSnO3

> Which formula does entry 2 have?

SrYRuW2